(1)
## BaSb2Pd8 (GGA-PBE)

Data for a relaxed BaSb2Pd8 crystal.

POSCAR file:
```
BaSb2Pd8
1.0
5.571 0.000 0.000
0.000 5.571 0.000
0.000 0.000 8.772
Ba Sb Pd
1 2 8
Direct
0.000 0.000 0.000
0.000 0.500 0.500
0.500 0.000 0.500
0.253 0.253 0.298
0.253 0.253 0.702
0.253 0.747 0.298
0.253 0.747 0.702
0.747 0.253 0.298
0.747 0.253 0.702
0.747 0.747 0.298
0.747 0.747 0.702
```

Calculated values
Total DFT energy (no corrections) ... -53.29 eV/cell
Total magnetization ... 0.00 Bohr magnetons per cell

***

(2)
## Ba3Sb2Pd7 (GGA-PBE)

Data for a relaxed Ba3Sb2Pd7 crystal.

POSCAR file:
```
Ba3Sb2Pd7
1.0
4.578 0.000 0.000
0.000 4.433 0.000
-2.255 0.000 15.684
Ba Sb Pd
3 2 7
Direct
0.000 0.000 0.000
0.197 0.000 0.397
0.803 0.000 0.603
0.417 0.500 0.836
0.583 0.500 0.164
0.124 0.500 0.247
0.320 0.500 0.637
0.376 0.000 0.749
0.500 0.500 0.000
0.624 0.000 0.251
0.680 0.500 0.363
0.876 0.500 0.753
```

Calculated values
Total DFT energy (no corrections) ... -55.88 eV/cell
Total magnetization ... 0.00 Bohr magnetons per cell

***

(3)
## Ba12SbPd6 (GGA-PBE)

Data for a relaxed Ba12SbPd6 crystal.

POSCAR file:
```
Ba12SbPd6
1.0
-5.737 5.737 5.737
5.737 -5.737 5.737
5.737 5.737 -5.737
Ba Sb Pd
12 1 6
Direct
0.127 0.307 0.820
0.180 0.488 0.307
0.180 0.873 0.693
0.307 0.180 0.488
0.307 0.820 0.127
0.488 0.307 0.180
0.512 0.693 0.820
0.693 0.180 0.873
0.693 0.820 0.512
0.820 0.127 0.307
0.820 0.512 0.693
0.873 0.693 0.180
0.000 0.000 0.000
0.120 0.500 0.620
0.380 0.880 0.500
0.500 0.380 0.880
0.500 0.620 0.120
0.620 0.120 0.500
0.880 0.500 0.380
```

Calculated values
Total DFT energy (no corrections) ... -67.33 eV/cell
Total magnetization ... 0.00 Bohr magnetons per cell

***

(4)
## Ba2Sb5Pd (GGA-PBE)

Data for a relaxed Ba2Sb5Pd crystal.

POSCAR file:
```
Ba2Sb5Pd
1.0
6.939 0.000 0.000
0.000 6.939 0.000
0.000 0.000 10.861
Ba Sb Pd
4 10 2
Direct
0.000 0.500 0.000
0.000 0.500 0.500
0.500 0.000 0.000
0.500 0.000 0.500
0.000 0.000 0.449
0.234 0.234 0.747
0.234 0.766 0.747
0.266 0.266 0.247
0.266 0.734 0.247
0.500 0.500 0.949
0.734 0.266 0.247
0.734 0.734 0.247
0.766 0.234 0.747
0.766 0.766 0.747
0.000 0.000 0.186
0.500 0.500 0.686
```

Calculated values
Total DFT energy (no corrections) ... -67.90 eV/cell
Total magnetization ... 0.00 Bohr magnetons per cell

***

(5)
## Ba2Sb3Pd2 (GGA-PBE)

Data for a relaxed Ba2Sb3Pd2 crystal.

POSCAR file:
```
Ba2Sb3Pd2
1.0
11.799 0.000 0.000
0.000 4.705 0.000
-2.899 0.000 7.190
Ba Sb Pd
4 6 4
Direct
0.152 0.000 0.290
0.348 0.500 0.710
0.652 0.500 0.290
0.848 0.000 0.710
0.000 0.500 0.500
0.120 0.500 0.948
0.380 0.000 0.052
0.500 0.000 0.500
0.620 0.000 0.948
0.880 0.500 0.052
0.140 0.000 0.786
0.360 0.500 0.214
0.640 0.500 0.786
0.860 0.000 0.214
```

Calculated values
Total magnetization ... 0.00 Bohr magnetons per cell
Energy relative to the lowest polymorph listed for this composition ... 37 meV per atom

***

(6)
## Ba2Sb4Pd3 (GGA-PBE)

Data for a relaxed Ba2Sb4Pd3 crystal.

POSCAR file:
```
Ba2Sb4Pd3
1.0
0.000 5.599 7.136
3.173 0.000 7.136
3.173 5.599 0.000
Ba Sb Pd
2 4 3
Direct
0.142 0.142 0.858
0.858 0.858 0.142
0.198 0.527 0.473
0.473 0.802 0.198
0.527 0.198 0.802
0.802 0.473 0.527
0.000 0.000 0.500
0.500 0.500 0.000
0.500 0.500 0.500
```

Calculated values
Total DFT energy (no corrections) ... -41.98 eV/cell
Total magnetization ... 0.00 Bohr magnetons per cell

***

(7)
## Ba2Sb3Pd5 (GGA-PBE)

Data for a relaxed Ba2Sb3Pd5 crystal.

POSCAR file:
```
Ba2Sb3Pd5
1.0
-5.459 6.462 3.434
5.459 -6.462 3.434
5.459 6.462 -3.434
Ba Sb Pd
4 6 10
Direct
0.129 0.238 0.367
0.371 0.738 0.108
0.629 0.262 0.892
0.871 0.762 0.633
0.131 0.885 0.016
0.250 0.750 0.500
0.369 0.385 0.754
0.631 0.615 0.246
0.750 0.250 0.500
0.869 0.115 0.984
0.007 0.750 0.257
0.111 0.640 0.750
0.250 0.250 0.000
0.389 0.140 0.529
0.493 0.750 0.743
0.507 0.250 0.257
0.611 0.860 0.471
0.750 0.750 0.000
0.889 0.360 0.250
0.993 0.250 0.743
```

Calculated values
Total DFT energy (no corrections) ... -98.35 eV/cell
Total magnetization ... 0.00 Bohr magnetons per cell

***

(8)
## BaSb2Pd2 (GGA-PBE)

Data for a relaxed BaSb2Pd2 crystal.

POSCAR file:
```
BaSb2Pd2
1.0
4.770 0.000 0.000
0.000 4.770 0.000
0.000 0.000 11.218
Ba Sb Pd
2 4 4
Direct
0.000 0.000 0.000
0.500 0.500 0.500
0.000 0.000 0.364
0.000 0.000 0.636
0.500 0.500 0.136
0.500 0.500 0.864
0.000 0.500 0.250
0.000 0.500 0.750
0.500 0.000 0.250
0.500 0.000 0.750
```

Calculated values
Total DFT energy (no corrections) ... -48.93 eV/cell
Total magnetization ... 0.00 Bohr magnetons per cell

***

| no. | calculated volume (Å³/cell) |
| --- | --- |
| 1 | 272.2 |
| 2 | 318.3 |
| 3 | 755.4 |
| 4 | 523.0 |
| 5 | 399.1 |
| 6 | 253.6 |
| 7 | 484.6 |
| 8 | 255.3 |